[1]
First-principles (PBE) data for a relaxed Ta2AlHg crystal, as listed in Alexandria via LeMat-Bulk.

DFT total energy   -6.84 eV/atom
ΔE_f   96 meV/atom
Energy above the most stable polymorph in this dataset   34.3 meV per atom
Volume   74.2 Å³ per cell

Unit cell a=2.929 b=2.929 c=9.016 alpha=90.00 beta=90.00 gamma=106.50
Fractional coordinates of all 4 atoms:
Hg 0.500 0.500 0.744
Ta 0.000 0.000 0.011
Ta 0.500 0.500 0.256
Al 0.000 0.000 0.489

=====

[2]
First-principles (PBE) data for a relaxed ZrInSn2Au crystal, as listed in Alexandria via LeMat-Bulk.

DFT total energy   -3.94 eV/atom
ΔE_f   577 meV/atom
Volume   146.7 Å³ per cell

Unit cell a=5.361 b=5.103 c=5.361 alpha=90.00 beta=90.00 gamma=90.00
Each line ends with the local moment (μB).
Fractional coordinates of all 5 atoms:
Zr 0.500 0.500 0.500  0.51
Au 0.000 0.000 0.000  0.01
Sn 0.000 0.000 0.500  -0.01
Sn 0.500 0.000 0.000  0.00
In 0.000 0.500 0.000  0.01

=====

[3]
First-principles (PBE) data for a relaxed TaAlZn2 crystal, as listed in Alexandria via LeMat-Bulk.

DFT total energy   -4.70 eV/atom
ΔE_f   -160 meV/atom
Volume   61.3 Å³ per cell

Unit cell a=3.917 b=3.917 c=3.993 alpha=90.00 beta=90.00 gamma=90.00
Fractional coordinates of all 4 atoms:
Ta 0.000 0.500 0.500
Zn 0.000 0.000 0.000
Zn 0.500 0.500 0.000
Al 0.500 0.000 0.500

=====

[4]
First-principles (PBE) data for a relaxed UAg4 crystal, as listed in Alexandria via LeMat-Bulk.

DFT total energy   -2.98 eV/atom
ΔE_f   1555 meV/atom
Volume   171.1 Å³ per cell

Unit cell a=5.551 b=5.551 c=5.551 alpha=90.00 beta=90.00 gamma=90.00
Each line ends with the local moment (μB).
Fractional coordinates of all 5 atoms:
Ag 0.500 0.000 0.500  0.01
Ag 0.000 0.000 0.000  0.01
Ag 0.500 0.500 0.000  0.01
Ag 0.000 0.500 0.500  0.01
U 0.500 0.500 0.500  2.74